# SrIn2I

SrIn2I after structural relaxation (PBE-GGA, Alexandria via LeMat-Bulk).

Calculated values
polymorph energy (0 for the lowest one): 0.1489 eV per atom
symmetry: No. 225

Cell and atoms, written as extended XYZ:
```
4
Lattice="3.7189 -4.1593 -1.7994 -0.7325 -5.5455 1.7547 -1.7830 -4.0724 -3.8216" Properties=species:S:1:pos:R:3 pbc="T T T"
I 0.6017 -6.8886 -1.9332
Sr 0.0000 0.0000 0.0000
In 0.3009 -3.4443 -0.9666
In 0.9026 -10.3329 -2.8998
```

***

# SrIn2I4

SrIn2I4 after structural relaxation (PBE-GGA, Alexandria via LeMat-Bulk).

Calculated values
polymorph energy (0 for the lowest one): 0.0000 eV per atom
symmetry: No. 12

Cell and atoms, written as extended XYZ:
```
7
Lattice="4.6482 0.0000 1.2572 1.7710 7.6854 2.6736 0.0944 -0.5970 8.8721" Properties=species:S:1:pos:R:3 pbc="T T T"
Sr 0.0000 0.0000 0.0000
In 2.8021 3.3551 8.0828
In 3.7116 3.7334 4.7201
I 0.7746 1.3597 6.3574
I 5.7390 5.7288 6.4455
I 2.0073 1.9485 1.7999
I 4.5063 5.1400 11.0030
```

***

M_tot values (in μB/atom) by entry order: 0.000, 0.000.
Uncorrected formation energy values (in eV/atom) by entry order: -0.116, -0.974.
Density values (in g cm⁻³) by entry order: 5.18, 4.25.